Compound: TlHg2
Source: Alexandria
Functional: PBE-GGA
Structure: relaxed

Cell: 7.418 7.418 5.159 Å, 90.00 90.00 143.02°
Positions (direct):
Tl: 0.087 0.913 0.750
Tl: 0.913 0.087 0.250
Hg: 0.248 0.752 0.250
Hg: 0.412 0.588 0.750
Hg: 0.588 0.412 0.250
Hg: 0.752 0.248 0.750

Calculated values
Energy relative to the lowest polymorph listed for this composition (eV per formula unit): 0.00
Energy of formation (eV/atom): -0.021
Total DFT energy (no corrections) (eV per atom): -1.011